(1)
A plane-wave DFT calculation with PBE was carried out for a relaxed Zr2AsP crystal.

As for the total energy: -59.97 eV for the cell shown. For the formation energy, the calculation gives -0.708 eV per atom. The size of the total moment is 0.00 μB/cell.

The space group is I-4m2 (No. 119) and the conventional cell measures 3.7440, 3.7440 and 11.3897 Å, with angles of 90.00, 90.00 and 90.00 degrees. The distinct sites, in fractional coordinates, are Zr at (0.0000, 0.0000, 0.0000), Zr at (0.0000, 0.5000, 0.2500), As at (0.0000, 0.5000, 0.7500) and P at (0.0000, 0.0000, 0.5000).

***

(2)
A plane-wave DFT calculation with PBE was carried out for a relaxed Zr2AsP crystal.

As for the total energy: -61.17 eV for the cell shown. For the formation energy, the calculation gives -0.857 eV per atom. The size of the total moment is 0.00 μB/cell.

The space group is Cmmm (No. 65) and the conventional cell measures 4.0439, 5.1734 and 7.1847 Å, with angles of 90.00, 90.00 and 90.00 degrees. The distinct sites, in fractional coordinates, are Zr at (0.0000, 0.0000, 0.2352), As at (0.0000, 0.5000, 0.5000) and P at (0.0000, 0.5000, 0.0000).

***

(3)
A plane-wave DFT calculation with PBE was carried out for a relaxed ZrAs2P crystal.

As for the total energy: -48.99 eV for the cell shown. For the formation energy, the calculation gives -0.310 eV per atom. The size of the total moment is 0.00 μB/cell.

The space group is Imm2 (No. 44) and the conventional cell measures 3.5603, 4.7251 and 8.4452 Å, with angles of 90.00, 90.00 and 90.00 degrees. The distinct sites, in fractional coordinates, are Zr at (0.0000, 0.0000, 0.0000), As at (0.0000, 0.0000, 0.5133), As at (0.0000, 0.5000, 0.7836) and P at (0.0000, 0.5000, 0.2257).

***

(4)
A plane-wave DFT calculation with PBE was carried out for a relaxed Zr2AsP crystal.

As for the total energy: -62.34 eV for the cell shown. For the formation energy, the calculation gives -1.003 eV per atom. The size of the total moment is 0.00 μB/cell.

The space group is Amm2 (No. 38) and the conventional cell measures 4.4854, 3.4727 and 9.6489 Å, with angles of 90.00, 90.00 and 90.00 degrees. The distinct sites, in fractional coordinates, are Zr at (0.0000, 0.0000, 0.0000), Zr at (0.5000, 0.0000, 0.2531), As at (0.0000, 0.0000, 0.7220) and P at (0.5000, 0.0000, 0.5323).

***

(5)
A plane-wave DFT calculation with PBE was carried out for a relaxed Zr2AsP crystal.

As for the total energy: -122.44 eV for the cell shown. For the formation energy, the calculation gives -0.864 eV per atom. The size of the total moment is 0.00 μB/cell.

The space group is Fm-3m (No. 225) and the conventional cell measures 6.6375, 6.6375 and 6.6375 Å, with angles of 90.00, 90.00 and 90.00 degrees. The distinct sites, in fractional coordinates, are Zr at (0.2500, 0.2500, 0.2500), As at (0.0000, 0.0000, 0.0000) and P at (0.0000, 0.0000, 0.5000).

***

(6)
A plane-wave DFT calculation with PBE was carried out for a relaxed ZrAsP2 crystal.

As for the total energy: -50.52 eV for the cell shown. For the formation energy, the calculation gives -0.311 eV per atom. The size of the total moment is 0.00 μB/cell.

The space group is Immm (No. 71) and the conventional cell measures 3.4931, 4.7226 and 8.1464 Å, with angles of 90.00, 90.00 and 90.00 degrees. The distinct sites, in fractional coordinates, are Zr at (0.0000, 0.0000, 0.0000), As at (0.0000, 0.0000, 0.5000) and P at (0.0000, 0.5000, 0.2181).

***

(7)
A plane-wave DFT calculation with PBE was carried out for a relaxed ZrAsP2 crystal.

As for the total energy: -97.20 eV for the cell shown. For the formation energy, the calculation gives -0.071 eV per atom. The size of the total moment is 0.00 μB/cell.

The space group is I-42d (No. 122) and the conventional cell measures 5.8726, 5.8726 and 11.2920 Å, with angles of 90.00, 90.00 and 90.00 degrees. The distinct sites, in fractional coordinates, are Zr at (0.0000, 0.0000, 0.0000), As at (0.0000, 0.0000, 0.5000) and P at (0.2374, 0.2500, 0.6250).

***

(8)
A plane-wave DFT calculation with PBE was carried out for a relaxed ZrAs2P crystal.

As for the total energy: -67.81 eV for the cell shown. For the formation energy, the calculation gives 0.164 eV per atom. The size of the total moment is 0.00 μB/cell.

The space group is R-3m (No. 166, hexagonal axes) and the conventional cell measures 3.0720, 3.0720 and 27.7639 Å, with angles of 90.00, 90.00 and 120.00 degrees. The distinct sites, in fractional coordinates, are Zr at (0.0000, 0.0000, 0.0000), As at (0.0000, 0.0000, 0.2515) and P at (0.0000, 0.0000, 0.5000).

***

(9)
A plane-wave DFT calculation with PBE was carried out for a relaxed Zr2AsP crystal.

As for the total energy: -31.92 eV for the cell shown. For the formation energy, the calculation gives -1.192 eV per atom. The size of the total moment is 0.00 μB/cell.

The space group is P4/mmm (No. 123) and the conventional cell measures 3.8168, 3.8168 and 5.3770 Å, with angles of 90.00, 90.00 and 90.00 degrees. The distinct sites, in fractional coordinates, are Zr at (0.0000, 0.0000, 0.0000), Zr at (0.5000, 0.5000, 0.5000), As at (0.0000, 0.0000, 0.5000) and P at (0.5000, 0.5000, 0.0000).

***

(10)
A plane-wave DFT calculation with PBE was carried out for a relaxed ZrAs2P crystal.

As for the total energy: -48.39 eV for the cell shown. For the formation energy, the calculation gives -0.235 eV per atom. The size of the total moment is 0.00 μB/cell.

The space group is I-4m2 (No. 119) and the conventional cell measures 3.9379, 3.9379 and 9.3860 Å, with angles of 90.00, 90.00 and 90.00 degrees. The distinct sites, in fractional coordinates, are Zr at (0.0000, 0.0000, 0.0000), As at (0.0000, 0.0000, 0.5000), As at (0.0000, 0.5000, 0.7500) and P at (0.0000, 0.5000, 0.2500).

***

(11)
A plane-wave DFT calculation with PBE was carried out for a relaxed ZrAs2P crystal.

As for the total energy: -49.45 eV for the cell shown. For the formation energy, the calculation gives -0.367 eV per atom. The size of the total moment is 0.00 μB/cell.

The space group is C2/m (No. 12) and the conventional cell measures 10.4655, 3.5955 and 4.0321 Å, with angles of 90.00, 90.64 and 90.00 degrees. The distinct sites, in fractional coordinates, are Zr at (0.0000, 0.0000, 0.0000), As at (0.2347, 0.5000, 0.7616) and P at (0.0000, 0.5000, 0.5000).

***

(12)
A plane-wave DFT calculation with PBE was carried out for a relaxed ZrAsP2 crystal.

As for the total energy: -25.62 eV for the cell shown. For the formation energy, the calculation gives -0.400 eV per atom. The size of the total moment is 0.00 μB/cell.

The space group is Pm (No. 6) and the conventional cell measures 3.7115, 3.3312 and 5.9818 Å, with angles of 90.00, 106.83 and 90.00 degrees. The distinct sites, in fractional coordinates, are Zr at (0.0000, 0.0000, 0.0000), As at (0.3771, 0.5000, 0.7451), P at (0.6105, 0.5000, 0.2230) and P at (0.9690, 0.0000, 0.4580).

***

Repeat the fourth record exactly.
A plane-wave DFT calculation with PBE was carried out for a relaxed Zr2AsP crystal.

As for the total energy: -62.34 eV for the cell shown. For the formation energy, the calculation gives -1.003 eV per atom. The size of the total moment is 0.00 μB/cell.

The space group is Amm2 (No. 38) and the conventional cell measures 4.4854, 3.4727 and 9.6489 Å, with angles of 90.00, 90.00 and 90.00 degrees. The distinct sites, in fractional coordinates, are Zr at (0.0000, 0.0000, 0.0000), Zr at (0.5000, 0.0000, 0.2531), As at (0.0000, 0.0000, 0.7220) and P at (0.5000, 0.0000, 0.5323).

***

Which value of size of the total moment does entry 11 give?
0.00 μB/cell

***

size of the total moment of number 12 (ZrAsP2)?
0.00 μB/cell